[1]
A plane-wave DFT calculation with PBE was carried out for TmOsI after structural relaxation.

a b c (Å): 4.2065 4.2065 35.9919
angles (deg): 90.00 90.00 120.00
With the nearest neighbours (Å) after each atom.
Space group R-3m (No. 166, hexagonal axes)
One atom of each set of equivalent atoms:
Tm 0.0000 0.0000 0.0534 x6  6 Os 3.04-3.16, 3 I 3.18
Os 0.0000 0.0000 0.3362 x6  3 Os 2.44
I 0.0000 0.0000 0.2229 x6  3 Tm 3.18

Summary:
Uncorrected formation energy, meV per atom: -764

[2]
A plane-wave DFT calculation with PBE was carried out for Tm2OsI after structural relaxation.

a b c (Å): 4.0474 4.0474 23.4117
angles (deg): 90.00 90.00 120.00
With the nearest neighbours (Å) after each atom.
Space group R-3m (No. 166, hexagonal axes)
One atom of each set of equivalent atoms:
Tm 0.0000 0.0000 0.2269 x6  3 Os 2.73
Os 0.0000 0.0000 0.5000 x3  6 Tm 2.73
I 0.0000 0.0000 0.0000 x3  6 Tm 3.42

Summary:
Uncorrected formation energy, meV per atom: -457
Polymorph energy (0 for the lowest one), meV/atom: 19

no.,E_tot (eV/f.u.)
1,-19.5
2,-23.6